1.
A relaxed structure of KNaO2F, computed with PBE.

Computed properties:
DOS(E_F): 2.696 states/eV/f.u.
raw formation energy: -0.79 eV per atom
M_tot: 3.00 Bohr magnetons per cell

Lattice parameters (Å, degrees): 4.5104 4.5104 4.4368 90.00 90.00 90.00
Last column: magnetic moment on the atom in μB.
Fractional positions:
K: 0.5000 0.5000 0.5000  0.00
O: 0.0000 0.5000 0.0000  1.12
O: 0.5000 0.0000 0.0000  1.12
F: 0.0000 0.0000 0.5000  0.15
Na: 0.0000 0.0000 0.0000  -0.01

=====

2.
A relaxed structure of KNa2OF, computed with PBE.

Computed properties:
raw formation energy: -1.72 eV per atom
M_tot: 0.00 Bohr magnetons per cell

Lattice parameters (Å, degrees): 3.5294 7.3401 6.8563 101.71 90.00 90.00
Fractional positions:
K: 0.2500 0.7369 0.9788
K: 0.7500 0.2631 0.0212
O: 0.7500 0.8375 0.2813
O: 0.2500 0.1625 0.7187
F: 0.2500 0.3447 0.3169
F: 0.7500 0.6553 0.6831
Na: 0.2500 0.0440 0.3580
Na: 0.2500 0.6588 0.4111
Na: 0.7500 0.3412 0.5889
Na: 0.7500 0.9560 0.6420

=====

3.
A relaxed structure of KNaOF2, computed with PBE.

Computed properties:
DOS(E_F): 0.535 states/eV/f.u.
raw formation energy: -1.47 eV per atom
ΔE to the lowest computed polymorph: 0 meV/atom
M_tot: 2.00 Bohr magnetons per cell

Lattice parameters (Å, degrees): 4.4846 4.4846 4.3873 90.00 90.00 90.00
Last column: magnetic moment on the atom in μB.
Fractional positions:
O: 0.0000 0.0000 0.5000  1.26
K: 0.5000 0.5000 0.5000  0.00
Na: 0.0000 0.0000 0.0000  -0.01
F: 0.5000 0.0000 0.0000  0.18
F: 0.0000 0.5000 0.0000  0.18

=====

4.
A relaxed structure of KNaO2F, computed with PBE.

Computed properties:
DOS(E_F): 8.143 states/eV/f.u.
raw formation energy: -0.41 eV per atom
M_tot: 3.00 Bohr magnetons per cell

Lattice parameters (Å, degrees): 4.9124 4.9124 4.8776 90.00 90.00 90.00
Last column: magnetic moment on the atom in μB.
Fractional positions:
F: 0.0000 0.0000 0.5000  0.12
K: 0.0000 0.0000 0.0000  0.06
Na: 0.5000 0.5000 0.5000  0.00
O: 0.0000 0.5000 0.0000  1.11
O: 0.5000 0.0000 0.0000  1.11

=====

Look up the raw formation energy of the fourth one. -0.41 eV per atom

=====

The highest raw formation energy belongs to which entry? number 4

=====

The lowest raw formation energy belongs to which entry? KNa2OF